# 1
This record from Alexandria describes a relaxed Ba2Bi2I crystal. The functional is GGA-PBE.

```
data_Ba2Bi2I
_chemical_formula_sum 'Ba4 Bi4 I2'
_cell_length_a 9.500
_cell_length_b 9.500
_cell_length_c 4.928
_cell_angle_alpha 90.00
_cell_angle_beta 90.00
_cell_angle_gamma 90.00
_space_group_name_H-M_alt 'P 4/m b m'
_space_group_IT_number 127
_space_group_name_Hall '-P 4 2ab'
loop_
_atom_site_label
_atom_site_type_symbol
_atom_site_fract_x
_atom_site_fract_y
_atom_site_fract_z
Ba1 Ba 0.178 0.322 0.000
Bi1 Bi 0.110 0.610 0.500
I1 I 0.000 0.000 0.000
```

The calculation puts the uncorrected formation energy at -4.84 eV/f.u. As for the distance to the lowest polymorph of the same formula: 0.308 eV per formula unit. The calculation puts the density of states at the Fermi level at 9.0 states/eV per cell.


# 2
This record from Alexandria describes a relaxed Tl2CrRe crystal. The functional is GGA-PBE.

```
data_Tl2CrRe
_chemical_formula_sum 'Tl4 Cr2 Re2'
_cell_length_a 4.130
_cell_length_b 4.130
_cell_length_c 9.008
_cell_angle_alpha 90.00
_cell_angle_beta 90.00
_cell_angle_gamma 90.00
_space_group_name_H-M_alt 'I -4 m 2'
_space_group_IT_number 119
_space_group_name_Hall 'I -4 -2'
loop_
_atom_site_label
_atom_site_type_symbol
_atom_site_fract_x
_atom_site_fract_y
_atom_site_fract_z
Tl1 Tl 0.000 0.000 0.000
Tl2 Tl 0.000 0.500 0.250
Cr1 Cr 0.000 0.500 0.750
Re1 Re 0.000 0.000 0.500
```

The value obtained for the formation energy from the elements is 1.04 eV per atom. As for the distance to the lowest polymorph of the same formula: 2.091 eV per formula unit. The calculation puts the density of states at the Fermi level at 7.2 states/eV per cell.


# 3
This record from Alexandria describes a relaxed Tl2NiCl crystal. The functional is GGA-PBE.

```
data_Tl2NiCl
_chemical_formula_sum 'Tl4 Ni2 Cl2'
_cell_length_a 4.116
_cell_length_b 5.952
_cell_length_c 8.251
_cell_angle_alpha 90.00
_cell_angle_beta 90.00
_cell_angle_gamma 90.00
_space_group_name_H-M_alt 'I m m m'
_space_group_IT_number 71
_space_group_name_Hall '-I 2 2'
loop_
_atom_site_label
_atom_site_type_symbol
_atom_site_fract_x
_atom_site_fract_y
_atom_site_fract_z
Tl1 Tl 0.000 0.000 0.205
Ni1 Ni 0.000 0.500 0.500
Cl1 Cl 0.000 0.500 0.000
```

The calculation puts the uncorrected formation energy at 0.46 eV/f.u. As for the distance to the lowest polymorph of the same formula: 0.964 eV per formula unit. The calculation puts the density of states at the Fermi level at 6.4 states/eV per cell.


# 4
This record from Alexandria describes a relaxed NdBi2Pd crystal. The functional is GGA-PBE.

```
data_NdBi2Pd
_chemical_formula_sum 'Nd1 Bi2 Pd1'
_cell_length_a 4.902
_cell_length_b 4.902
_cell_length_c 4.351
_cell_angle_alpha 90.00
_cell_angle_beta 90.00
_cell_angle_gamma 90.00
_space_group_name_H-M_alt 'P 4/m m m'
_space_group_IT_number 123
_space_group_name_Hall '-P 4 2'
loop_
_atom_site_label
_atom_site_type_symbol
_atom_site_fract_x
_atom_site_fract_y
_atom_site_fract_z
Nd1 Nd 0.000 0.000 0.000
Bi1 Bi 0.000 0.500 0.500
Pd1 Pd 0.500 0.500 0.000
```

The value obtained for the formation energy from the elements is -0.52 eV per atom. The calculation puts the density of states at the Fermi level at 1.6 states/eV per cell.


# 5
This record from Alexandria describes a relaxed LiRe2Pt crystal. The functional is GGA-PBE.

```
data_LiRe2Pt
_chemical_formula_sum 'Li3 Re6 Pt3'
_cell_length_a 2.7411
_cell_length_b 2.7411
_cell_length_c 27.9544
_cell_angle_alpha 90.00
_cell_angle_beta 90.00
_cell_angle_gamma 120.00
_space_group_name_H-M_alt 'R -3 m'
_space_group_IT_number 166
_space_group_name_Hall '-R 3 2"'
loop_
_atom_site_label
_atom_site_type_symbol
_atom_site_fract_x
_atom_site_fract_y
_atom_site_fract_z
Li1 Li 0.0000 0.0000 0.0000
Re1 Re 0.0000 0.0000 0.2476
Pt1 Pt 0.0000 0.0000 0.5000
```

The value obtained for the formation energy from the elements is 0.25 eV per atom. As for the distance to the lowest polymorph of the same formula: 1.186 eV per formula unit. The calculation puts the density of states at the Fermi level at 13.3 states/eV per cell.


# 6
This record from Alexandria describes a relaxed Pu2Be3AgAu12 crystal. The functional is GGA-PBE.

```
data_Pu2Be3AgAu12
_chemical_formula_sum 'Pu6 Be9 Ag3 Au36'
_cell_length_a 8.4308
_cell_length_b 8.4308
_cell_length_c 18.0958
_cell_angle_alpha 90.00
_cell_angle_beta 90.00
_cell_angle_gamma 120.00
_space_group_name_H-M_alt 'R -3 m'
_space_group_IT_number 166
_space_group_name_Hall '-R 3 2"'
loop_
_atom_site_label
_atom_site_type_symbol
_atom_site_fract_x
_atom_site_fract_y
_atom_site_fract_z
Pu1 Pu 0.0000 0.0000 0.0937
Be1 Be 0.0000 0.5000 0.0000
Ag1 Ag 0.0000 0.0000 0.5000
Au1 Au 0.0252 0.5126 0.8722
Au2 Au 0.0446 0.5223 0.3555
```

The value obtained for the formation energy from the elements is 0.00 eV per atom. The calculation puts the density of states at the Fermi level at 98.6 states/eV per cell.


Copy entry 4 word for word.
This record from Alexandria describes a relaxed NdBi2Pd crystal. The functional is GGA-PBE.

```
data_NdBi2Pd
_chemical_formula_sum 'Nd1 Bi2 Pd1'
_cell_length_a 4.902
_cell_length_b 4.902
_cell_length_c 4.351
_cell_angle_alpha 90.00
_cell_angle_beta 90.00
_cell_angle_gamma 90.00
_space_group_name_H-M_alt 'P 4/m m m'
_space_group_IT_number 123
_space_group_name_Hall '-P 4 2'
loop_
_atom_site_label
_atom_site_type_symbol
_atom_site_fract_x
_atom_site_fract_y
_atom_site_fract_z
Nd1 Nd 0.000 0.000 0.000
Bi1 Bi 0.000 0.500 0.500
Pd1 Pd 0.500 0.500 0.000
```

The value obtained for the formation energy from the elements is -0.52 eV per atom. The calculation puts the density of states at the Fermi level at 1.6 states/eV per cell.


What is the formula in the second record? Tl2CrRe